A plane-wave DFT calculation with PBE was carried out for an optimized crystal structure of Cr2TcTe.

The structure in POSCAR format:
```
Cr2TcTe
1.0
4.533 -1.574 0.000
4.533 1.574 0.000
-1.351 0.000 4.357
Cr Tc Te
2 1 1
direct
0.000 0.000 0.000 Cr
0.726 0.726 0.126 Cr
0.494 0.494 0.482 Tc
0.240 0.240 0.652 Te
```

Results
crystal system = monoclinic
space-group type = Cm
volume = 15.55 Å³/atom
E_form (uncorrected) = 0.359 eV per atom

---

A plane-wave DFT calculation with PBE was carried out for an optimized crystal structure of CePr2TlO.

The structure in POSCAR format:
```
CePr2TlO
1.0
5.071 0.000 0.000
0.000 5.071 0.000
0.000 0.000 4.870
Ce Pr Tl O
1 2 1 1
direct
0.000 0.000 0.000 Ce
0.000 0.500 0.500 Pr
0.500 0.000 0.500 Pr
0.500 0.500 0.000 Tl
0.000 0.000 0.500 O
```

Results
crystal system = tetragonal
space-group type = P4/mmm
volume = 25.05 Å³/atom
E_form (uncorrected) = -1.292 eV per atom

---

A plane-wave DFT calculation with PBE was carried out for an optimized crystal structure of LaTbHgAu.

The structure in POSCAR format:
```
LaTbHgAu
1.0
3.732 0.000 0.000
0.000 3.732 0.000
0.000 0.000 7.624
La Tb Hg Au
1 1 1 1
direct
0.000 0.000 0.000 La
0.000 0.000 0.476 Tb
0.500 0.500 0.721 Hg
0.500 0.500 0.268 Au
```

Results
crystal system = tetragonal
space-group type = P4mm
volume = 26.55 Å³/atom
E above lowest polymorph = 0 meV/atom
ΔH_f (0 K) = -2.61 eV/f.u.

---

A plane-wave DFT calculation with PBE was carried out for an optimized crystal structure of ErThPdAu.

The structure in POSCAR format:
```
ErThPdAu
1.0
4.541 0.000 0.000
0.000 1.896 5.625
0.000 -1.896 5.625
Er Th Pd Au
1 1 1 1
direct
0.000 0.000 0.000 Er
0.500 0.276 0.276 Th
0.000 0.732 0.732 Pd
0.500 0.551 0.551 Au
```

Results
crystal system = orthorhombic
space-group type = Amm2
volume = 24.22 Å³/atom
E above lowest polymorph = 0 meV/atom
ΔH_f (0 K) = -3.30 eV/f.u.

---

A plane-wave DFT calculation with PBE was carried out for an optimized crystal structure of CaNi3As.

The structure in POSCAR format:
```
CaNi3As
1.0
4.538 0.000 0.000
0.000 4.538 0.000
0.000 0.000 4.538
Ca Ni As
1 3 1
direct
0.000 0.000 0.000 Ca
0.000 0.000 0.500 Ni
0.000 0.500 0.000 Ni
0.500 0.000 0.000 Ni
0.500 0.500 0.500 As
```

Results
crystal system = cubic
space-group type = Pm-3m
volume = 18.69 Å³/atom
E above lowest polymorph = 1548 meV/atom
ΔH_f (0 K) = 7.20 eV/f.u.

---

A plane-wave DFT calculation with PBE was carried out for an optimized crystal structure of TmAl2Pd5.

The structure in POSCAR format:
```
TmAl2Pd5
1.0
-1.893 3.495 5.186
1.893 -3.495 5.186
1.893 3.495 -5.186
Tm Al Pd
1 2 5
direct
0.000 0.000 0.000 Tm
0.263 0.763 0.500 Al
0.737 0.237 0.500 Al
0.153 0.361 0.792 Pd
0.431 0.639 0.792 Pd
0.500 0.000 0.500 Pd
0.569 0.361 0.208 Pd
0.847 0.639 0.208 Pd
```

Results
crystal system = orthorhombic
space-group type = Immm
volume = 17.15 Å³/atom
ΔH_f (0 K) = -6.18 eV/f.u.

---

A plane-wave DFT calculation with PBE was carried out for an optimized crystal structure of CdHgTe2.

The structure in POSCAR format:
```
CdHgTe2
1.0
4.691 0.000 0.000
0.000 8.115 0.000
-2.345 -1.353 7.657
Cd Hg Te
2 2 4
direct
0.000 0.000 0.000 Cd
0.250 0.751 0.501 Cd
0.503 0.501 0.002 Hg
0.751 0.251 0.501 Hg
0.187 0.062 0.374 Te
0.438 0.814 0.875 Te
0.688 0.565 0.377 Te
0.939 0.313 0.876 Te
```

Results
crystal system = triclinic
space-group type = P1
volume = 36.43 Å³/atom
E_form (uncorrected) = -0.312 eV per atom
E above lowest polymorph = 0 meV/atom

---

A plane-wave DFT calculation with PBE was carried out for an optimized crystal structure of NdHo6Tm3.

The structure in POSCAR format:
```
NdHo6Tm3
1.0
4.860 2.806 3.906
-4.860 2.806 3.906
0.000 -5.612 3.906
Nd Ho Tm
1 6 3
direct
0.000 0.000 0.000 Nd
0.164 0.830 0.493 Ho
0.333 0.662 0.994 Ho
0.493 0.164 0.830 Ho
0.662 0.994 0.333 Ho
0.830 0.493 0.164 Ho
0.994 0.333 0.662 Ho
0.258 0.258 0.258 Tm
0.502 0.502 0.502 Tm
0.751 0.751 0.751 Tm
```

Results
crystal system = trigonal
space-group type = R3
volume = 31.95 Å³/atom
E above lowest polymorph = 123 meV/atom
ΔH_f (0 K) = 2.75 eV/f.u.

---

A plane-wave DFT calculation with PBE was carried out for an optimized crystal structure of Tl2BiN.

The structure in POSCAR format:
```
Tl2BiN
1.0
-3.200 3.200 5.484
3.200 -3.200 5.484
3.200 3.200 -5.484
Tl Bi N
4 2 2
direct
0.030 0.625 0.905 Tl
0.375 0.280 0.405 Tl
0.720 0.125 0.095 Tl
0.875 0.970 0.595 Tl
0.250 0.750 0.500 Bi
0.500 0.500 0.000 Bi
0.000 0.000 0.000 N
0.750 0.250 0.500 N
```

Results
crystal system = tetragonal
space-group type = I-42d
volume = 28.08 Å³/atom
E_form (uncorrected) = 0.654 eV per atom
E above lowest polymorph = 0 meV/atom

---

A plane-wave DFT calculation with PBE was carried out for an optimized crystal structure of Zn2SbW.

The structure in POSCAR format:
```
Zn2SbW
1.0
2.749 -4.230 0.000
2.749 4.230 0.000
0.000 0.000 2.995
Zn Sb W
2 1 1
direct
0.000 0.500 0.000 Zn
0.500 0.000 0.000 Zn
0.000 0.000 0.500 Sb
0.500 0.500 0.500 W
```

Results
crystal system = orthorhombic
space-group type = Cmmm
volume = 17.41 Å³/atom
E_form (uncorrected) = 0.496 eV per atom

---

A plane-wave DFT calculation with PBE was carried out for an optimized crystal structure of HoAlCl6.

The structure in POSCAR format:
```
HoAlCl6
1.0
3.108 -6.387 0.000
3.108 6.387 0.000
-1.781 0.000 5.950
Ho Al Cl
1 1 6
direct
0.000 0.000 0.000 Ho
0.500 0.500 0.500 Al
0.148 0.409 0.278 Cl
0.262 0.262 0.739 Cl
0.409 0.148 0.278 Cl
0.591 0.852 0.722 Cl
0.738 0.738 0.261 Cl
0.852 0.591 0.722 Cl
```

Results
crystal system = monoclinic
space-group type = C2/m
volume = 29.53 Å³/atom
E_form (uncorrected) = -1.822 eV per atom

---

A plane-wave DFT calculation with PBE was carried out for an optimized crystal structure of LaScTeCl2.

The structure in POSCAR format:
```
LaScTeCl2
1.0
4.868 0.000 0.000
0.000 4.868 0.000
0.000 0.000 5.878
La Sc Te Cl
1 1 1 2
direct
0.000 0.000 0.000 La
0.500 0.500 0.500 Sc
0.500 0.500 0.000 Te
0.000 0.500 0.500 Cl
0.500 0.000 0.500 Cl
```

Results
crystal system = tetragonal
space-group type = P4/mmm
volume = 27.86 Å³/atom
E_form (uncorrected) = -1.408 eV per atom

---

A plane-wave DFT calculation with PBE was carried out for an optimized crystal structure of Tl6AgF8.

The structure in POSCAR format:
```
Tl6AgF8
1.0
5.899 3.406 3.264
-5.899 3.406 3.264
0.000 -6.812 3.264
Tl Ag F
6 1 8
direct
0.054 0.800 0.644 Tl
0.200 0.356 0.946 Tl
0.356 0.946 0.200 Tl
0.644 0.054 0.800 Tl
0.800 0.644 0.054 Tl
0.946 0.200 0.356 Tl
0.500 0.500 0.500 Ag
0.047 0.906 0.315 F
0.094 0.685 0.953 F
0.288 0.288 0.288 F
0.315 0.047 0.906 F
0.685 0.953 0.094 F
0.712 0.712 0.712 F
0.906 0.315 0.047 F
0.953 0.094 0.685 F
```

Results
crystal system = trigonal
space-group type = R-3
volume = 26.24 Å³/atom
E_form (uncorrected) = -1.587 eV per atom

---

A plane-wave DFT calculation with PBE was carried out for an optimized crystal structure of TeCCl2.

The structure in POSCAR format:
```
TeCCl2
1.0
1.613 0.931 10.063
-1.613 0.931 10.063
0.000 -1.862 10.063
Te C Cl
1 1 2
direct
0.000 0.000 0.000 Te
0.500 0.500 0.500 C
0.447 0.447 0.447 Cl
0.553 0.553 0.553 Cl
```

Results
crystal system = trigonal
space-group type = R-3m
volume = 22.67 Å³/atom
E_form (uncorrected) = 1.087 eV per atom
E above lowest polymorph = 0 meV/atom

---

A plane-wave DFT calculation with PBE was carried out for an optimized crystal structure of CrFeGeMo.

The structure in POSCAR format:
```
CrFeGeMo
1.0
0.000 2.951 2.951
2.951 0.000 2.951
2.951 2.951 0.000
Cr Fe Ge Mo
1 1 1 1
direct
0.000 0.000 0.000 Cr
0.500 0.500 0.500 Fe
0.750 0.750 0.750 Ge
0.250 0.250 0.250 Mo
```

Results
crystal system = cubic
space-group type = F-43m
volume = 12.86 Å³/atom
ΔH_f (0 K) = 0.22 eV/f.u.

---

A plane-wave DFT calculation with PBE was carried out for an optimized crystal structure of NaCaGaSi2O7.

The structure in POSCAR format:
```
NaCaGaSi2O7
1.0
5.141 0.000 0.000
0.000 7.789 0.000
-0.244 0.000 7.814
Na Ca Ga Si O
2 2 2 4 14
direct
0.001 0.000 0.433 Na
0.999 0.500 0.567 Na
0.012 0.679 0.094 Ca
0.988 0.179 0.906 Ca
0.498 0.834 0.753 Ga
0.502 0.334 0.247 Ga
0.444 0.475 0.895 Si
0.454 0.194 0.614 Si
0.546 0.694 0.386 Si
0.556 0.975 0.105 Si
0.236 0.686 0.367 O
0.246 0.976 0.080 O
0.284 0.409 0.066 O
0.300 0.018 0.678 O
0.302 0.661 0.850 O
0.324 0.239 0.425 O
0.326 0.343 0.744 O
0.674 0.843 0.256 O
0.676 0.739 0.575 O
0.698 0.161 0.150 O
0.700 0.518 0.322 O
0.716 0.909 0.934 O
0.754 0.476 0.920 O
0.764 0.186 0.633 O
```

Results
crystal system = monoclinic
space-group type = P2_1
volume = 13.04 Å³/atom
E_form (uncorrected) = -2.609 eV per atom

---

A plane-wave DFT calculation with PBE was carried out for an optimized crystal structure of YbCu3S3.

The structure in POSCAR format:
```
YbCu3S3
1.0
3.335 1.925 6.469
-3.335 1.925 6.469
0.000 -3.851 6.469
Yb Cu S
2 6 6
direct
0.166 0.166 0.166 Yb
0.834 0.834 0.834 Yb
0.041 0.376 0.712 Cu
0.288 0.959 0.624 Cu
0.376 0.712 0.041 Cu
0.624 0.288 0.959 Cu
0.712 0.041 0.376 Cu
0.959 0.624 0.288 Cu
0.080 0.748 0.415 S
0.252 0.585 0.920 S
0.415 0.080 0.748 S
0.585 0.920 0.252 S
0.748 0.415 0.080 S
0.920 0.252 0.585 S
```

Results
crystal system = trigonal
space-group type = R-3
volume = 17.80 Å³/atom
E_form (uncorrected) = -0.770 eV per atom

---

A plane-wave DFT calculation with PBE was carried out for an optimized crystal structure of TaMoOs2.

The structure in POSCAR format:
```
TaMoOs2
1.0
2.780 0.000 0.000
0.000 4.281 0.000
-1.365 0.000 5.279
Ta Mo Os
1 1 2
direct
0.000 0.000 0.000 Ta
0.000 0.000 0.500 Mo
0.410 0.500 0.248 Os
0.590 0.500 0.752 Os
```

Results
crystal system = monoclinic
space-group type = P2/m
volume = 15.71 Å³/atom
E above lowest polymorph = 70 meV/atom
ΔH_f (0 K) = 0.15 eV/f.u.

---

A plane-wave DFT calculation with PBE was carried out for an optimized crystal structure of Hf4MgRu5.

The structure in POSCAR format:
```
Hf4MgRu5
1.0
3.235 0.000 0.000
0.000 3.235 0.000
0.000 0.000 16.027
Hf Mg Ru
4 1 5
direct
0.000 0.000 0.103 Hf
0.000 0.000 0.308 Hf
0.000 0.000 0.692 Hf
0.000 0.000 0.897 Hf
0.000 0.000 0.500 Mg
0.500 0.500 0.000 Ru
0.500 0.500 0.200 Ru
0.500 0.500 0.399 Ru
0.500 0.500 0.601 Ru
0.500 0.500 0.800 Ru
```

Results
crystal system = tetragonal
space-group type = P4/mmm
volume = 16.77 Å³/atom
ΔH_f (0 K) = -6.70 eV/f.u.

---

A plane-wave DFT calculation with PBE was carried out for an optimized crystal structure of Na2Zn3BiAu12.

The structure in POSCAR format:
```
Na2Zn3BiAu12
1.0
3.564 2.058 9.235
-3.564 2.058 9.235
0.000 -4.116 9.235
Na Zn Bi Au
2 3 1 12
direct
0.139 0.139 0.139 Na
0.861 0.861 0.861 Na
0.000 0.500 0.500 Zn
0.500 0.000 0.500 Zn
0.500 0.500 0.000 Zn
0.500 0.500 0.500 Bi
0.060 0.627 0.627 Au
0.089 0.089 0.691 Au
0.089 0.691 0.089 Au
0.309 0.911 0.911 Au
0.373 0.373 0.940 Au
0.373 0.940 0.373 Au
0.627 0.060 0.627 Au
0.627 0.627 0.060 Au
0.691 0.089 0.089 Au
0.911 0.309 0.911 Au
0.911 0.911 0.309 Au
0.940 0.373 0.373 Au
```

Results
crystal system = trigonal
space-group type = R-3m
volume = 22.58 Å³/atom
ΔH_f (0 K) = -0.38 eV/f.u.

---

N(E_F) readings, ordered: 4.29; 8.09; 3.95; 2.95; 3.30; 2.99; 0.05; 20.24; 0.75; 2.37; 0.00; 5.94; 13.85; 1.80; 3.76; 0.00; 14.30; 4.08; 5.67; 5.64 states/eV/f.u.
Final energy readings, ordered: -7.830; -5.855; -3.937; -5.937; -3.359; -5.513; -2.187; -4.290; -3.580; -4.409; -4.247; -5.027; -3.722; -2.927; -8.327; -6.934; -4.512; -11.249; -9.449; -2.781 eV/atom